Entry 1:
Pm3TmAg6: relaxed, PBE.

a = 7.507 Å, b = 7.507 Å, c = 7.507 Å
α = 60.00°, β = 60.00°, γ = 60.00°
Atoms (fractional coordinates):
Pm1 0.000 0.000 0.000
Pm2 0.250 0.250 0.250
Pm3 0.750 0.750 0.750
Tm1 0.500 0.500 0.500
Ag1 0.254 0.254 0.746
Ag2 0.254 0.746 0.254
Ag3 0.254 0.746 0.746
Ag4 0.746 0.254 0.254
Ag5 0.746 0.254 0.746
Ag6 0.746 0.746 0.254

The symmetry is Fm-3m, No. 225. The calculated formation energy is 4.87 eV per formula unit.

***

Entry 2:
Ho5Ir2Se2: relaxed, PBE.

a = 8.365 Å, b = 8.365 Å, c = 7.603 Å
α = 90.00°, β = 90.00°, γ = 54.16°
Atoms (fractional coordinates):
Ho1 0.000 0.000 0.000
Ho2 0.037 0.715 0.657
Ho3 0.215 0.537 0.157
Ho4 0.285 0.963 0.657
Ho5 0.463 0.785 0.157
Ho6 0.500 0.500 0.500
Ho7 0.537 0.215 0.843
Ho8 0.715 0.037 0.343
Ho9 0.785 0.463 0.843
Ho10 0.963 0.285 0.343
Ir1 0.139 0.861 0.362
Ir2 0.361 0.639 0.862
Ir3 0.639 0.361 0.138
Ir4 0.861 0.139 0.638
Se1 0.208 0.208 0.000
Se2 0.292 0.292 0.500
Se3 0.708 0.708 0.500
Se4 0.792 0.792 0.000

For the uncorrected formation energy, the calculation gives -1.21 eV/atom. The symmetry is Cmce, No. 64.

***

Entry 3:
YSi2Ag: relaxed, PBE.

a = 13.472 Å, b = 4.190 Å, c = 10.825 Å
α = 90.00°, β = 90.00°, γ = 90.00°
Atoms (fractional coordinates):
Y1 0.052 0.250 0.240
Y2 0.195 0.750 0.959
Y3 0.305 0.250 0.459
Y4 0.448 0.750 0.740
Y5 0.552 0.250 0.260
Y6 0.695 0.750 0.541
Y7 0.805 0.250 0.041
Y8 0.948 0.750 0.760
Si1 0.029 0.250 0.965
Si2 0.109 0.250 0.777
Si3 0.132 0.750 0.443
Si4 0.212 0.750 0.256
Si5 0.288 0.250 0.756
Si6 0.368 0.250 0.943
Si7 0.391 0.750 0.277
Si8 0.471 0.750 0.465
Si9 0.529 0.250 0.535
Si10 0.609 0.250 0.723
Si11 0.632 0.750 0.057
Si12 0.712 0.750 0.244
Si13 0.788 0.250 0.744
Si14 0.868 0.250 0.557
Si15 0.891 0.750 0.223
Si16 0.971 0.750 0.035
Ag1 0.062 0.250 0.551
Ag2 0.209 0.750 0.658
Ag3 0.291 0.250 0.158
Ag4 0.438 0.750 0.051
Ag5 0.562 0.250 0.949
Ag6 0.709 0.750 0.842
Ag7 0.791 0.250 0.342
Ag8 0.938 0.750 0.449

For the uncorrected formation energy, the calculation gives -0.44 eV/atom. The symmetry is Pnma, No. 62.

***

Entry 4:
VGa2CoS: relaxed, PBE.

a = 4.496 Å, b = 4.496 Å, c = 4.411 Å
α = 90.00°, β = 90.00°, γ = 90.00°
Atoms (fractional coordinates):
V1 0.000 0.000 0.000
Ga1 0.000 0.500 0.500
Ga2 0.500 0.000 0.500
Co1 0.000 0.000 0.500
S1 0.500 0.500 0.000

For the uncorrected formation energy, the calculation gives 0.18 eV/atom. The symmetry is P4/mmm, No. 123.

***

Entry 5:
U4Ge2Se5: relaxed, PBE.

a = 10.120 Å, b = 10.120 Å, c = 10.120 Å
α = 156.43°, β = 136.77°, γ = 49.82°
Atoms (fractional coordinates):
U1 0.213 0.213 0.000
U2 0.237 0.500 0.737
U3 0.763 0.500 0.263
U4 0.787 0.787 0.000
Ge1 0.063 0.063 0.000
Ge2 0.937 0.937 0.000
Se1 0.093 0.334 0.759
Se2 0.425 0.666 0.759
Se3 0.500 0.000 0.500
Se4 0.575 0.334 0.241
Se5 0.907 0.666 0.241

For the uncorrected formation energy, the calculation gives -0.74 eV/atom. The symmetry is Immm, No. 71.

***

Entry 6:
NaLa2Tb: relaxed, PBE.

a = 3.595 Å, b = 3.595 Å, c = 11.151 Å
α = 90.00°, β = 90.00°, γ = 90.00°
Atoms (fractional coordinates):
Na1 0.000 0.000 0.000
La1 0.500 0.500 0.270
La2 0.500 0.500 0.730
Tb1 0.000 0.000 0.500

The symmetry is P4/mmm, No. 123. The calculated formation energy is 0.37 eV per formula unit.

***

Number 1: ρ 6.944 Mg/m³. Number 2: ρ 10.527 Mg/m³. Number 3: ρ 5.500 Mg/m³. Number 4: ρ 5.240 Mg/m³. Number 5: ρ 8.758 Mg/m³. Number 6: ρ 5.298 Mg/m³.